The following is a DFT calculation (PBE) of a geometry-optimized Pa2CrMoN5 structure.

Summary:
The symmetry is Cmc2_1, No. 36.

Cell lengths 6.6806, 6.6806, 10.0332 Å; angles 90.00, 90.00, 152.01 degrees
Last column: nearest neighbours and their distance in Å.
Positions (direct):
Pa 0.1072 0.8928 0.5000  6 N 2.29-2.44
Pa 0.1450 0.8550 0.1284  7 N 2.35-2.52
Pa 0.8550 0.1450 0.6284  7 N 2.35-2.52
Pa 0.8928 0.1072 0.0000  6 N 2.29-2.44
Cr 0.4589 0.5411 0.2776  4 N 1.91-2.02
Cr 0.5411 0.4589 0.7776  4 N 1.91-2.02
Mo 0.1979 0.8021 0.8274  6 N 2.01-2.24
Mo 0.8021 0.1979 0.3274  6 N 2.01-2.24
N 0.0493 0.9507 0.8862  2 Cr 1.95, 1 Mo 2.01
N 0.2834 0.7166 0.4803  2 Mo 2.24, 3 Pa 2.29-2.38
N 0.3208 0.6792 0.1851  1 Cr 2.02, 2 Mo 2.17
N 0.3703 0.6297 0.8196  1 Mo 2.24, 1 Cr 2.25, 2 Pa 2.44
N 0.4893 0.5107 0.5994  1 Cr 1.91
N 0.5107 0.4893 0.0994  1 Cr 1.91
N 0.6297 0.3703 0.3196  1 Mo 2.24, 1 Cr 2.25, 2 Pa 2.44
N 0.6792 0.3208 0.6851  1 Cr 2.02, 2 Mo 2.17
N 0.7166 0.2834 0.9803  2 Mo 2.24, 3 Pa 2.29-2.38
N 0.9507 0.0493 0.3862  2 Cr 1.95, 1 Mo 2.01

The following is a DFT calculation (PBE) of a geometry-optimized Pm2CrMoN5 structure.

Summary:
The symmetry is Cmc2_1, No. 36.

Cell lengths 7.1755, 7.1755, 9.9657 Å; angles 90.00, 90.00, 153.60 degrees
Last column: nearest neighbours and their distance in Å.
Positions (direct):
Pm 0.1206 0.8794 0.5000  8 N 2.49-2.76
Pm 0.1337 0.8663 0.1244  7 N 2.47-2.67
Pm 0.8663 0.1337 0.6244  7 N 2.47-2.67
Pm 0.8794 0.1206 0.0000  8 N 2.49-2.76
Cr 0.4467 0.5533 0.2612  4 N 1.73-1.93
Cr 0.5533 0.4467 0.7612  4 N 1.73-1.93
Mo 0.2064 0.7936 0.8287  1 N 1.90
Mo 0.7936 0.2064 0.3287  1 N 1.90
N 0.0421 0.9579 0.8433  2 Cr 1.84
N 0.2972 0.7028 0.4666  2 Mo 2.14
N 0.3194 0.6806 0.1864  1 Cr 1.93
N 0.3418 0.6582 0.8171  1 Mo 1.90
N 0.4990 0.5010 0.1042  1 Cr 1.73
N 0.5010 0.4990 0.6042  1 Cr 1.73
N 0.6582 0.3418 0.3171  1 Mo 1.90
N 0.6806 0.3194 0.6864  1 Cr 1.93
N 0.7028 0.2972 0.9666  2 Mo 2.14
N 0.9579 0.0421 0.3433  2 Cr 1.84

The following is a DFT calculation (PBE) of a geometry-optimized Pr2CrMoN5 structure.

Summary:
The symmetry is Cmc2_1, No. 36.

Cell lengths 7.2892, 7.2892, 10.0838 Å; angles 90.00, 90.00, 153.75 degrees
Last column: nearest neighbours and their distance in Å.
Positions (direct):
Pr 0.1211 0.8789 0.5000  8 N 2.54-2.84
Pr 0.1330 0.8670 0.1229  7 N 2.51-2.74
Pr 0.8670 0.1330 0.6229  7 N 2.51-2.74
Pr 0.8789 0.1211 0.0000  8 N 2.54-2.84
Cr 0.4450 0.5550 0.2607  4 N 1.73-1.92
Cr 0.5550 0.4450 0.7607  4 N 1.73-1.92
Mo 0.2067 0.7933 0.8279  1 N 1.88
Mo 0.7933 0.2067 0.3279  1 N 1.88
N 0.0432 0.9568 0.8401  2 Cr 1.85
N 0.2980 0.7020 0.4627  2 Mo 2.14
N 0.3201 0.6799 0.1882  1 Cr 1.92
N 0.3388 0.6612 0.8155  1 Mo 1.88
N 0.4979 0.5021 0.1066  1 Cr 1.73
N 0.5021 0.4979 0.6066  1 Cr 1.73
N 0.6612 0.3388 0.3155  1 Mo 1.88
N 0.6799 0.3201 0.6882  1 Cr 1.92
N 0.7020 0.2980 0.9627  2 Mo 2.14
N 0.9568 0.0432 0.3401  2 Cr 1.85

The following is a DFT calculation (PBE) of a geometry-optimized Cr2MoPtN structure.

Summary:
The symmetry is P4/mmm, No. 123.

Cell lengths 3.9032, 3.9032, 4.0517 Å; angles 90.00, 90.00, 90.00 degrees
Last column: nearest neighbours and their distance in Å.
Positions (direct):
Cr 0.0000 0.5000 0.0000  2 N 1.95
Cr 0.5000 0.0000 0.0000  2 N 1.95
Mo 0.0000 0.0000 0.5000  2 N 2.03
Pt 0.5000 0.5000 0.5000  4 Mo 2.76, 8 Cr 2.81
N 0.0000 0.0000 0.0000  4 Cr 1.95, 2 Mo 2.03

The following is a DFT calculation (PBE) of a geometry-optimized CrMo2PtN structure.

Summary:
The symmetry is P4/mmm, No. 123.

Cell lengths 4.0941, 4.0941, 3.8974 Å; angles 90.00, 90.00, 90.00 degrees
Last column: nearest neighbours and their distance in Å.
Positions (direct):
Cr 0.0000 0.0000 0.0000  2 N 1.95
Mo 0.0000 0.5000 0.5000  2 N 2.05
Mo 0.5000 0.0000 0.5000  2 N 2.05
Pt 0.5000 0.5000 0.0000  8 Mo 2.83, 4 Cr 2.89
N 0.0000 0.0000 0.5000  2 Cr 1.95, 4 Mo 2.05

The following is a DFT calculation (PBE) of a geometry-optimized Pu2CrMoN6 structure.

Summary:
The symmetry is P4mm, No. 99.

Cell lengths 5.2625, 5.2625, 4.6847 Å; angles 90.00, 90.00, 90.00 degrees
Last column: nearest neighbours and their distance in Å.
Positions (direct):
Pu 0.0000 0.5000 0.0000  4 N 2.29
Pu 0.5000 0.0000 0.0000  4 N 2.29
Cr 0.0000 0.0000 0.5768  1 N 1.67
Mo 0.5000 0.5000 0.5751  5 N 1.80-2.01
N 0.0000 0.0000 0.2200  1 Cr 1.67
N 0.2449 0.2449 0.7155  1 Cr 1.93, 1 Mo 2.01
N 0.2449 0.7551 0.7155  1 Cr 1.93, 1 Mo 2.01
N 0.5000 0.5000 0.1905  1 Mo 1.80
N 0.7551 0.2449 0.7155  1 Cr 1.93, 1 Mo 2.01
N 0.7551 0.7551 0.7155  1 Cr 1.93, 1 Mo 2.01

The following is a DFT calculation (PBE) of a geometry-optimized CrReMo2N structure.

Summary:
The symmetry is P4/mmm, No. 123.

Cell lengths 4.1019, 4.1019, 3.8614 Å; angles 90.00, 90.00, 90.00 degrees
Last column: nearest neighbours and their distance in Å.
Positions (direct):
Cr 0.0000 0.0000 0.0000  2 N 1.93
Re 0.5000 0.5000 0.0000  8 Mo 2.82, 4 Cr 2.90
Mo 0.0000 0.5000 0.5000  2 N 2.05
Mo 0.5000 0.0000 0.5000  2 N 2.05
N 0.0000 0.0000 0.5000  2 Cr 1.93, 4 Mo 2.05

The following is a DFT calculation (PBE) of a geometry-optimized Cr2MoRhN structure.

Summary:
The symmetry is P4/mmm, No. 123.

Cell lengths 3.8670, 3.8670, 4.0650 Å; angles 90.00, 90.00, 90.00 degrees
Last column: nearest neighbours and their distance in Å.
Positions (direct):
Cr 0.0000 0.5000 0.0000  2 N 1.93
Cr 0.5000 0.0000 0.0000  2 N 1.93
Mo 0.0000 0.0000 0.5000  2 N 2.03
Rh 0.5000 0.5000 0.5000  4 Mo 2.73, 8 Cr 2.81
N 0.0000 0.0000 0.0000  4 Cr 1.93, 2 Mo 2.03

The following is a DFT calculation (PBE) of a geometry-optimized CrMo2RhN structure.

Summary:
The symmetry is P4/mmm, No. 123.

Cell lengths 4.0989, 4.0989, 3.8396 Å; angles 90.00, 90.00, 90.00 degrees
Last column: nearest neighbours and their distance in Å.
Positions (direct):
Cr 0.0000 0.0000 0.0000  2 N 1.92
Mo 0.0000 0.5000 0.5000  2 N 2.05
Mo 0.5000 0.0000 0.5000  2 N 2.05
Rh 0.5000 0.5000 0.0000  8 Mo 2.81, 4 Cr 2.90
N 0.0000 0.0000 0.5000  2 Cr 1.92, 4 Mo 2.05

The following is a DFT calculation (PBE) of a geometry-optimized Cr2MoRuN structure.

Summary:
The symmetry is P4/mmm, No. 123.

Cell lengths 3.8428, 3.8428, 4.0658 Å; angles 90.00, 90.00, 90.00 degrees
Last column: nearest neighbours and their distance in Å.
Positions (direct):
Cr 0.0000 0.5000 0.0000  2 N 1.92
Cr 0.5000 0.0000 0.0000  2 N 1.92
Mo 0.0000 0.0000 0.5000  2 N 2.03
Ru 0.5000 0.5000 0.5000  4 Mo 2.72, 8 Cr 2.80
N 0.0000 0.0000 0.0000  4 Cr 1.92, 2 Mo 2.03

The following is a DFT calculation (PBE) of a geometry-optimized CrMoS2N structure.

Summary:
The value obtained for the energy above the most stable polymorph in this dataset is 262 meV/atom. The symmetry is P4/mmm, No. 123.

Cell lengths 4.8013, 4.8013, 3.7544 Å; angles 90.00, 90.00, 90.00 degrees
Last column: nearest neighbours and their distance in Å.
Positions (direct):
Cr 0.0000 0.0000 0.0000  8 S 3.05, 4 N 3.40
Mo 0.5000 0.5000 0.5000  2 N 1.88
S 0.0000 0.5000 0.5000  2 Mo 2.40
S 0.5000 0.0000 0.5000  2 Mo 2.40
N 0.5000 0.5000 0.0000  2 Mo 1.88

The following is a DFT calculation (PBE) of a geometry-optimized CrMoS2N structure.

Summary:
The value obtained for the energy above the most stable polymorph in this dataset is 0 meV/atom. The symmetry is P4/mmm, No. 123.

Cell lengths 4.6734, 4.6734, 3.5084 Å; angles 90.00, 90.00, 90.00 degrees
Last column: nearest neighbours and their distance in Å.
Positions (direct):
Cr 0.0000 0.0000 0.0000  2 N 1.75
Mo 0.5000 0.5000 0.5000  8 S 2.92
S 0.0000 0.5000 0.0000  2 Cr 2.34
S 0.5000 0.0000 0.0000  2 Cr 2.34
N 0.0000 0.0000 0.5000  2 Cr 1.75

| no. | size of the total moment (μB per atom) | raw formation energy (eV per atom) | V (A^3/atom) |
| --- | --- | --- | --- |
| 1 | 0.000 | -1.12 | 11.68 |
| 2 | 0.000 | -0.87 | 12.67 |
| 3 | 0.000 | -0.82 | 13.16 |
| 4 | 0.359 | -0.30 | 12.35 |
| 5 | 0.001 | -0.28 | 13.07 |
| 6 | 0.986 | -0.63 | 12.97 |
| 7 | 0.056 | -0.07 | 12.99 |
| 8 | 0.408 | -0.21 | 12.16 |
| 9 | 0.000 | -0.19 | 12.90 |
| 10 | 0.107 | -0.14 | 12.01 |
| 11 | 0.160 | 0.69 | 17.31 |
| 12 | 0.866 | 0.42 | 15.33 |